No. 1
VASP calculation (PBE) on crystalline SmTiZn at its relaxed geometry.

a = 6.3498 Å, b = 6.3498 Å, c = 6.3498 Å
α = 149.96°, β = 149.96°, γ = 43.00°
With the nearest neighbours (Å) after each atom.
Fractional coordinates of all 3 atoms:
Sm: 0.0000 0.0000 0.0000  4 Ti 3.21, 4 Zn 3.23, 4 Sm 3.29
Ti: 0.3124 0.3124 0.0000  4 Zn 2.74
Zn: 0.6898 0.6898 0.0000  4 Ti 2.74

Results
Its space-group type is I4mm. As for the offset from the most stable computed form: 0.0 meV per atom.

---

No. 2
VASP calculation (PBE) on crystalline SmZrTi2 at its relaxed geometry.

a = 3.6517 Å, b = 3.6517 Å, c = 6.7861 Å
α = 90.00°, β = 90.00°, γ = 90.00°
With the nearest neighbours (Å) after each atom.
Fractional coordinates of all 4 atoms:
Sm: 0.0000 0.0000 0.0000  8 Ti 3.29, 2 Zr 3.39, 4 Sm 3.65
Zr: 0.0000 0.0000 0.5000  8 Ti 2.92
Ti: 0.5000 0.5000 0.2993  1 Ti 2.72, 4 Zr 2.92
Ti: 0.5000 0.5000 0.7007  1 Ti 2.72, 4 Zr 2.92

Results
Its space-group type is P4/mmm.

---

No. 3
VASP calculation (PBE) on crystalline SmZr2Ti at its relaxed geometry.

a = 10.7178 Å, b = 10.7178 Å, c = 10.7178 Å
α = 17.31°, β = 17.31°, γ = 17.31°
With the nearest neighbours (Å) after each atom.
Fractional coordinates of all 4 atoms:
Sm: 0.0000 0.0000 0.0000  6 Sm 3.23, 6 Zr 3.44-3.47
Zr: 0.5754 0.5754 0.5754  3 Ti 3.01, 6 Zr 3.23
Zr: 0.7593 0.7593 0.7593  3 Ti 3.01, 6 Zr 3.23
Ti: 0.1675 0.1675 0.1675  6 Zr 3.01, 6 Ti 3.23

Results
Its space-group type is R3m. As for the offset from the most stable computed form: 39.5 meV per atom.

---

No. 4
VASP calculation (PBE) on crystalline SmZr2Ti at its relaxed geometry.

a = 11.2848 Å, b = 11.2848 Å, c = 11.2848 Å
α = 16.14°, β = 16.14°, γ = 16.14°
With the nearest neighbours (Å) after each atom.
Fractional coordinates of all 4 atoms:
Sm: 0.0000 0.0000 0.0000  6 Sm 3.17, 2 Zr 3.21
Zr: 0.0960 0.0960 0.0960  3 Ti 2.99, 6 Zr 3.17, 1 Sm 3.21
Zr: 0.9040 0.9040 0.9040  3 Ti 2.99, 6 Zr 3.17, 1 Sm 3.21
Ti: 0.5000 0.5000 0.5000  6 Zr 2.99, 6 Ti 3.17

Results
Its space-group type is R-3m. As for the offset from the most stable computed form: 110.7 meV per atom.

---

| no. | magnetization (Bohr magnetons per cell) | electronic total energy (eV for the cell shown) |
| --- | --- | --- |
| 1 | 0.0 | -14.0 |
| 2 | 0.0 | -28.4 |
| 3 | 0.0 | -29.0 |
| 4 | 0.0 | -28.7 |